[1]
VASP calculation (PBE-GGA) on a geometry-optimized Tb3NdEr12 structure.

Computed properties:
E = -4.566 eV/atom
DFT formation energy = 22 meV per atom

Cell lengths 4.9870, 4.9870, 19.9553 Å; angles 90.00, 90.00, 90.00 degrees
Closest atoms and distances in Å follow each position.
Sites, in units of the cell vectors:
Tb  0.0000  0.0000  0.2508  12 Er 3.52-3.53
Tb  0.0000  0.0000  0.5000  12 Er 3.52-3.53
Tb  0.0000  0.0000  0.7492  12 Er 3.52-3.53
Nd  0.0000  0.0000  0.0000  12 Er 3.53-3.55
Er  0.5000  0.5000  0.0000  4 Nd 3.53, 8 Er 3.55
Er  0.5000  0.5000  0.2512  8 Er 3.52, 4 Tb 3.53
Er  0.5000  0.5000  0.5000  8 Er 3.52, 4 Tb 3.53
Er  0.5000  0.5000  0.7488  8 Er 3.52, 4 Tb 3.53
Er  0.5000  0.0000  0.1265  2 Tb 3.52, 8 Er 3.52-3.55, 2 Nd 3.55
Er  0.5000  0.0000  0.3755  8 Er 3.52-3.53, 4 Tb 3.52
Er  0.5000  0.0000  0.6245  8 Er 3.52-3.53, 4 Tb 3.52
Er  0.5000  0.0000  0.8735  2 Tb 3.52, 8 Er 3.52-3.55, 2 Nd 3.55
Er  0.0000  0.5000  0.1265  2 Tb 3.52, 8 Er 3.52-3.55, 2 Nd 3.55
Er  0.0000  0.5000  0.3755  8 Er 3.52-3.53, 4 Tb 3.52
Er  0.0000  0.5000  0.6245  8 Er 3.52-3.53, 4 Tb 3.52
Er  0.0000  0.5000  0.8735  2 Tb 3.52, 8 Er 3.52-3.55, 2 Nd 3.55

***

[2]
VASP calculation (PBE-GGA) on a geometry-optimized Tb4NdEr8 structure.

Computed properties:
E = -4.396 eV/atom
DFT formation energy = 204 meV per atom

Cell lengths 7.2732, 7.2731, 9.8967 Å; angles 90.00, 111.56, 120.00 degrees
Closest atoms and distances in Å follow each position.
Sites, in units of the cell vectors:
Tb  0.0000  0.0000  0.0000  6 Er 3.32, 6 Tb 3.64
Tb  0.0000  0.5000  0.0000  6 Er 3.54-3.74, 6 Tb 3.64
Tb  0.5000  0.5000  0.0000  6 Er 3.54-3.74, 6 Tb 3.64
Tb  0.5000  0.0000  0.0000  6 Er 3.54-3.74, 6 Tb 3.64
Nd  0.0000  0.5000  0.5000  6 Er 2.91
Er  0.5635  0.7818  0.3453  9 Er 3.63-3.66, 3 Tb 3.74
Er  0.4365  0.2182  0.6547  9 Er 3.63-3.66, 3 Tb 3.74
Er  0.4992  0.2496  0.3068  1 Nd 2.91, 2 Er 3.21
Er  0.9428  0.1923  0.6932  1 Nd 2.91, 2 Er 3.21
Er  0.5008  0.7504  0.6932  1 Nd 2.91, 2 Er 3.21
Er  0.9428  0.7504  0.6932  1 Nd 2.91, 2 Er 3.21
Er  0.0572  0.2496  0.3068  1 Nd 2.91, 2 Er 3.21
Er  0.0572  0.8077  0.3068  1 Nd 2.91, 2 Er 3.21

***

[3]
VASP calculation (PBE-GGA) on a geometry-optimized Tb6Nd5Er2 structure.

Computed properties:
E = -4.580 eV/atom
DFT formation energy = 93 meV per atom

Cell lengths 3.6098, 11.6868, 20.6372 Å; angles 90.00, 90.00, 90.00 degrees
Closest atoms and distances in Å follow each position.
Sites, in units of the cell vectors:
Tb  0.0000  0.0815  0.3682  1 Er 3.32, 6 Nd 3.40-3.55, 4 Tb 3.49-3.61
Tb  0.0000  0.9185  0.6318  1 Er 3.32, 6 Nd 3.40-3.55, 4 Tb 3.49-3.61
Tb  0.0000  0.5815  0.1318  1 Er 3.32, 6 Nd 3.40-3.55, 4 Tb 3.49-3.61
Tb  0.0000  0.4185  0.8682  1 Er 3.32, 6 Nd 3.40-3.55, 4 Tb 3.49-3.61
Tb  0.5000  0.3258  0.1388  2 Nd 3.36-3.51, 4 Tb 3.49-3.61, 2 Er 3.59
Tb  0.5000  0.6742  0.8612  2 Nd 3.36-3.51, 4 Tb 3.49-3.61, 2 Er 3.59
Tb  0.5000  0.8258  0.3612  2 Nd 3.36-3.51, 4 Tb 3.49-3.61, 2 Er 3.59
Tb  0.5000  0.1742  0.6388  2 Nd 3.36-3.51, 4 Tb 3.49-3.61, 2 Er 3.59
Tb  0.0000  0.5620  0.4189  6 Nd 3.52-3.65, 5 Tb 3.61-3.77, 1 Er 3.81
Tb  0.0000  0.4380  0.5811  6 Nd 3.52-3.65, 5 Tb 3.61-3.77, 1 Er 3.81
Tb  0.0000  0.0620  0.0811  6 Nd 3.52-3.65, 5 Tb 3.61-3.77, 1 Er 3.81
Tb  0.0000  0.9380  0.9189  6 Nd 3.52-3.65, 5 Tb 3.61-3.77, 1 Er 3.81
Nd  0.5000  0.3019  0.4482  6 Tb 3.55-3.65, 3 Nd 3.61-3.69, 2 Er 3.75
Nd  0.5000  0.6981  0.5518  6 Tb 3.55-3.65, 3 Nd 3.61-3.69, 2 Er 3.75
Nd  0.5000  0.8019  0.0518  6 Tb 3.55-3.65, 3 Nd 3.61-3.69, 2 Er 3.75
Nd  0.5000  0.1981  0.9482  6 Tb 3.55-3.65, 3 Nd 3.61-3.69, 2 Er 3.75
Nd  0.5000  0.5846  0.2729  5 Tb 3.36-3.52, 4 Er 3.51-3.62, 2 Nd 3.61
Nd  0.5000  0.4154  0.7271  5 Tb 3.36-3.52, 4 Er 3.51-3.62, 2 Nd 3.61
Nd  0.5000  0.0846  0.2271  5 Tb 3.36-3.52, 4 Er 3.51-3.62, 2 Nd 3.61
Nd  0.5000  0.9154  0.7729  5 Tb 3.36-3.52, 4 Er 3.51-3.62, 2 Nd 3.61
Nd  0.5000  0.5000  0.0000  6 Tb 3.40-3.51, 4 Nd 3.61-3.69
Nd  0.5000  0.0000  0.5000  6 Tb 3.40-3.51, 4 Nd 3.61-3.69
Er  0.0000  0.3292  0.2894  3 Tb 3.32-3.59, 4 Nd 3.51-3.62, 2 Er 3.61
Er  0.0000  0.6708  0.7106  3 Tb 3.32-3.59, 4 Nd 3.51-3.62, 2 Er 3.61
Er  0.0000  0.8292  0.2106  3 Tb 3.32-3.59, 4 Nd 3.51-3.62, 2 Er 3.61
Er  0.0000  0.1708  0.7894  3 Tb 3.32-3.59, 4 Nd 3.51-3.62, 2 Er 3.61